Density functional theory data (PBE+U) for a relaxed structure of NiSb2IF.

Cell lengths 4.861, 4.861, 5.243 Å; angles 90.00, 90.00, 90.00 degrees
Fractional coordinates of all 5 atoms:
Ni 0.000 0.000 0.000
Sb 0.000 0.500 0.000
Sb 0.500 0.000 0.000
I 0.000 0.000 0.500
F 0.500 0.500 0.500

## Properties
As for the total energy: -2.6416 eV per atom. The total magnetization comes out at 0.00 μB per formula unit. The space-group type is P4/mmm.